Entry 1:
DFT (PBE) results for a relaxed structure of NpZn2.

Cell: 16.093 2.672 4.453 Å, 90.00 90.00 90.00°
Positions (direct):
1 Zn 0.587 0.500 0.500
2 Zn 0.358 0.000 0.000
3 Zn 0.006 0.000 0.000
4 Zn 0.506 0.500 0.000
5 Zn 0.938 0.500 0.500
6 Zn 0.858 0.500 0.000
7 Zn 0.087 0.000 0.500
8 Zn 0.438 0.000 0.500
9 Np 0.757 0.000 0.500
10 Np 0.687 0.000 0.000
11 Np 0.257 0.500 0.500
12 Np 0.187 0.500 0.000

- energy relative to the elements (eV/f.u.) = -0.08
- V (Å³ per cell) = 191.5


Entry 2:
DFT (PBE) results for a relaxed structure of BeInReMo.

Cell: 4.405 4.405 4.405 Å, 60.00 60.00 60.00°
Positions (direct):
1 Re 0.500 0.500 0.500
2 Be 0.750 0.750 0.750
3 Mo 0.000 0.000 0.000
4 In 0.250 0.250 0.250

- relative energy among the computed polymorphs (meV per atom) = 351
- V (Å³ per cell) = 60.4


Entry 3:
DFT (PBE) results for a relaxed structure of NdSmAsO.

Cell: 4.413 4.413 9.254 Å, 90.00 90.00 90.00°
Positions (direct):
1 As 0.750 0.750 0.295
2 As 0.250 0.250 0.705
3 O 0.750 0.250 0.000
4 O 0.250 0.750 0.000
5 Nd 0.250 0.250 0.106
6 Nd 0.750 0.750 0.894
7 Sm 0.250 0.750 0.500
8 Sm 0.750 0.250 0.500

- relative energy among the computed polymorphs (meV per atom) = 74
- V (Å³ per cell) = 180.2


Entry 4:
DFT (PBE) results for a relaxed structure of ZrSc2Bi.

Cell: 5.084 5.084 5.084 Å, 60.00 60.00 60.00°
Positions (direct):
1 Bi 0.500 0.500 0.500
2 Zr 0.250 0.250 0.250
3 Sc 0.750 0.750 0.750
4 Sc 0.000 0.000 0.000

- V (Å³ per cell) = 92.9
- final energy (eV for the cell shown) = -25.5